# TaTl4Cr, relaxed, DFT GGA-PBE
data_TaTl4Cr
_chemical_formula_sum 'Ta1 Tl4 Cr1'
_space_group_name_H-M_alt 'P 1'
_space_group_IT_number 1
_space_group_name_Hall 'P 1'
_cell_length_a 6.056
_cell_length_b 6.056
_cell_length_c 6.056
_cell_angle_alpha 60.00
_cell_angle_beta 60.00
_cell_angle_gamma 60.00
loop_
_atom_site_label
_atom_site_type_symbol
_atom_site_fract_x
_atom_site_fract_y
_atom_site_fract_z
_atom_site_occupancy
Cr1 Cr 0.750 0.750 0.750 1
Tl1 Tl 0.375 0.375 0.375 1
Tl2 Tl 0.375 0.875 0.375 1
Tl3 Tl 0.875 0.375 0.375 1
Tl4 Tl 0.375 0.375 0.875 1
Ta1 Ta 0.000 0.000 0.000 1
# Spin magnetization   0.315 μB/atom
# Crystal system   cubic
# Raw total energy   -4.0218 eV/atom